Y5Be | SCAN | single point on PBEsol structure

Cell lengths 3.459, 3.459, 13.492 Å; angles 90.00, 90.00, 90.00 degrees
Element x y z (fractional)
Y: 0.000 0.000 0.380
Y: 0.000 0.000 0.000
Y: 0.500 0.500 0.815
Be: 0.500 0.500 0.500
Y: 0.500 0.500 0.185
Y: 0.000 0.000 0.620

Results
**Magnetization**: 0.08 μB/f.u.
**Crystal system**: tetragonal
**Distance to the lowest polymorph of the same formula**: 0 meV/atom
**Space-group type**: P4/mmm
**Calculated formation energy**: 0.059 eV/atom

=====

Y2BeZn | SCAN | single point on PBEsol structure

Cell lengths 4.140, 4.140, 5.578 Å; angles 111.78, 111.78, 90.00 degrees
Element x y z (fractional)
Zn: 0.500 0.500 0.000
Be: 0.250 0.750 0.500
Y: 0.750 0.250 0.500
Y: 0.000 0.000 0.000

Results
**Magnetization**: 0.00 μB/f.u.
**Crystal system**: tetragonal
**Space-group type**: I-4m2
**Calculated formation energy**: 0.083 eV/atom

=====

YZr2Be | SCAN | single point on PBEsol structure

Cell lengths 3.291, 4.875, 5.957 Å; angles 114.15, 106.03, 90.00 degrees
Element x y z (fractional)
Y: 0.500 0.000 0.000
Be: 0.000 0.500 0.000
Zr: 0.708 0.708 0.417
Zr: 0.292 0.292 0.583

Results
**Magnetization**: 0.00 μB/f.u.
**Crystal system**: orthorhombic
**Space-group type**: Immm
**Calculated formation energy**: 0.033 eV/atom

=====

Y2ZrBe | SCAN | single point on PBEsol structure

Cell lengths 4.416, 4.483, 4.483 Å; angles 90.00, 90.00, 90.00 degrees
Element x y z (fractional)
Zr: 0.500 0.500 0.500
Y: 0.000 0.500 0.000
Y: 0.000 0.000 0.500
Be: 0.500 0.000 0.000

Results
**Magnetization**: 0.00 μB/f.u.
**Crystal system**: tetragonal
**Space-group type**: P4/mmm
**Calculated formation energy**: 0.306 eV/atom

=====

Y2ZrBe | SCAN | single point on PBEsol structure

Cell lengths 4.381, 4.381, 5.549 Å; angles 113.25, 113.25, 90.00 degrees
Element x y z (fractional)
Y: 0.000 0.000 0.000
Y: 0.750 0.250 0.500
Be: 0.250 0.750 0.500
Zr: 0.500 0.500 0.000

Results
**Magnetization**: 0.00 μB/f.u.
**Crystal system**: tetragonal
**Space-group type**: I-4m2
**Calculated formation energy**: 0.328 eV/atom

=====

YZr2Be | SCAN | single point on PBEsol structure

Cell lengths 3.230, 3.230, 7.930 Å; angles 90.00, 90.00, 90.00 degrees
Element x y z (fractional)
Zr: 0.000 0.000 0.026
Be: 0.000 0.000 0.476
Zr: 0.500 0.500 0.292
Y: 0.500 0.500 0.706

Results
**Magnetization**: 0.00 μB/f.u.
**Crystal system**: tetragonal
**Space-group type**: P4mm
**Calculated formation energy**: 0.055 eV/atom

=====

Be2Zn | SCAN | single point on PBEsol structure

Cell lengths 4.350, 4.350, 4.350 Å; angles 60.00, 60.00, 60.00 degrees
Element x y z (fractional)
Be: 0.125 0.625 0.125
Zn: 0.750 0.750 0.750
Be: 0.125 0.125 0.625
Be: 0.625 0.125 0.125
Zn: 0.500 0.500 0.500
Be: 0.125 0.125 0.125

Results
**Magnetization**: 0.00 μB/f.u.
**Crystal system**: cubic
**Distance to the lowest polymorph of the same formula**: 0 meV/atom
**Space-group type**: Fd-3m
**Calculated formation energy**: 0.009 eV/atom

=====

Be2Zn | SCAN | single point on PBEsol structure

Cell lengths 4.346, 4.346, 14.241 Å; angles 90.00, 90.00, 120.00 degrees
Element x y z (fractional)
Be: 0.832 0.663 0.250
Zn: 0.000 0.000 0.905
Be: 0.168 0.337 0.750
Zn: 0.000 0.000 0.595
Be: 0.500 0.500 0.000
Be: 0.832 0.168 0.250
Zn: 0.667 0.333 0.843
Be: 0.663 0.832 0.750
Zn: 0.000 0.000 0.095
Be: 0.168 0.832 0.750
Zn: 0.333 0.667 0.157
Be: 0.333 0.667 0.877
Be: 0.500 0.000 0.500
Be: 0.667 0.333 0.377
Zn: 0.333 0.667 0.343
Be: 0.337 0.168 0.250
Zn: 0.000 0.000 0.405
Be: 0.500 0.500 0.500
Be: 0.000 0.500 0.000
Be: 0.000 0.500 0.500
Be: 0.500 0.000 0.000
Zn: 0.667 0.333 0.657
Be: 0.667 0.333 0.123
Be: 0.333 0.667 0.623

Results
**Magnetization**: 0.00 μB/f.u.
**Crystal system**: hexagonal
**Distance to the lowest polymorph of the same formula**: 5 meV/atom
**Space-group type**: P6_3/mmc
**Calculated formation energy**: 0.015 eV/atom

=====

BeZn3 | SCAN | single point on PBEsol structure

Cell lengths 2.622, 2.622, 7.303 Å; angles 90.00, 90.00, 90.00 degrees
Element x y z (fractional)
Zn: 0.500 0.500 0.779
Zn: 0.000 0.000 0.500
Zn: 0.500 0.500 0.221
Be: 0.000 0.000 0.000

Results
**Magnetization**: 0.00 μB/f.u.
**Crystal system**: tetragonal
**Space-group type**: P4/mmm
**Calculated formation energy**: 0.097 eV/atom

=====

Be3Zn2 | SCAN | single point on PBEsol structure

Cell lengths 4.151, 4.162, 7.582 Å; angles 97.85, 105.89, 60.09 degrees
Element x y z (fractional)
Zn: 0.449 0.831 0.425
Zn: 0.274 0.331 0.075
Be: 0.136 0.500 0.500
Be: 0.867 0.827 0.251
Be: 0.886 0.000 0.000
Be: 0.866 0.327 0.249
Be: 0.443 0.173 0.749
Zn: 0.854 0.169 0.575
Be: 0.944 0.673 0.751
Zn: 0.530 0.669 0.925

Results
**Magnetization**: 0.00 μB/f.u.
**Crystal system**: orthorhombic
**Space-group type**: Fdd2
**Calculated formation energy**: 0.173 eV/atom

=====

BeZn3 | SCAN | single point on PBEsol structure

Cell lengths 2.572, 4.470, 4.470 Å; angles 90.00, 90.00, 90.00 degrees
Element x y z (fractional)
Zn: 0.000 0.500 0.500
Zn: 0.500 0.500 0.000
Be: 0.000 0.000 0.000
Zn: 0.500 0.000 0.500

Results
**Magnetization**: 0.00 μB/f.u.
**Crystal system**: tetragonal
**Space-group type**: P4/mmm
**Calculated formation energy**: 0.149 eV/atom

=====

BeZn5 | SCAN | single point on PBEsol structure

Cell lengths 2.529, 5.489, 6.475 Å; angles 112.91, 90.00, 103.32 degrees
Element x y z (fractional)
Be: 0.988 0.977 0.996
Zn: 0.669 0.337 0.299
Zn: 0.323 0.646 0.665
Zn: 0.591 0.181 0.762
Zn: 0.968 0.936 0.391
Zn: 0.295 0.590 0.053

Results
**Magnetization**: 0.00 μB/f.u.
**Crystal system**: monoclinic
**Distance to the lowest polymorph of the same formula**: 0 meV/atom
**Space-group type**: Cm
**Calculated formation energy**: 0.055 eV/atom

=====

BeZn5 | SCAN | single point on PBEsol structure

Cell lengths 2.643, 4.289, 6.984 Å; angles 90.00, 100.91, 90.00 degrees
Element x y z (fractional)
Zn: 0.777 0.500 0.553
Zn: 0.108 0.500 0.216
Zn: 0.448 0.500 0.896
Zn: 0.341 0.000 0.682
Zn: 0.660 0.000 0.321
Be: 0.000 0.000 0.999

Results
**Magnetization**: 0.00 μB/f.u.
**Crystal system**: orthorhombic
**Distance to the lowest polymorph of the same formula**: 8 meV/atom
**Space-group type**: Amm2
**Calculated formation energy**: 0.064 eV/atom

=====

Be2Zn3 | SCAN | single point on PBEsol structure

Cell lengths 3.879, 3.879, 4.657 Å; angles 90.00, 90.00, 120.00 degrees
Element x y z (fractional)
Zn: 0.333 0.667 0.366
Be: 0.333 0.667 0.873
Zn: 0.667 0.333 0.634
Be: 0.667 0.333 0.127
Zn: 0.000 0.000 0.000

Results
**Magnetization**: 0.00 μB/f.u.
**Crystal system**: trigonal
**Space-group type**: P-3m1
**Calculated formation energy**: 0.021 eV/atom

=====

Be2Zn | SCAN | single point on PBEsol structure

Cell lengths 2.552, 3.773, 4.019 Å; angles 117.99, 108.52, 90.00 degrees
Element x y z (fractional)
Be: 0.199 0.699 0.399
Be: 0.801 0.301 0.601
Zn: 0.000 0.000 0.000

Results
**Magnetization**: 0.01 μB/f.u.
**Crystal system**: orthorhombic
**Distance to the lowest polymorph of the same formula**: 193 meV/atom
**Space-group type**: Immm
**Calculated formation energy**: 0.203 eV/atom

=====

ZrBe2Zn | SCAN | single point on PBEsol structure

Cell lengths 2.535, 4.776, 4.776 Å; angles 107.09, 91.65, 91.65 degrees
Element x y z (fractional)
Zn: 0.500 0.500 0.500
Zr: 0.500 0.000 0.000
Be: 0.000 0.500 0.000
Be: 0.000 0.000 0.500

Results
**Magnetization**: 0.00 μB/f.u.
**Crystal system**: monoclinic
**Space-group type**: C2/m
**Calculated formation energy**: 0.241 eV/atom

=====

Zr2Be2Zn | SCAN | single point on PBEsol structure

Cell lengths 3.926, 6.190, 6.190 Å; angles 90.00, 90.00, 90.00 degrees
Element x y z (fractional)
Be: 0.000 0.374 0.874
Zr: 0.500 0.827 0.327
Be: 0.000 0.126 0.374
Be: 0.000 0.874 0.626
Zr: 0.500 0.673 0.827
Zr: 0.500 0.173 0.673
Zn: 0.000 0.500 0.500
Zn: 0.000 0.000 0.000
Zr: 0.500 0.327 0.173
Be: 0.000 0.626 0.126

Results
**Magnetization**: 0.00 μB/f.u.
**Crystal system**: tetragonal
**Space-group type**: P4/mbm
**Calculated formation energy**: -0.291 eV/atom

=====

ZrBe2Zn | SCAN | single point on PBEsol structure

Cell lengths 3.413, 3.999, 3.999 Å; angles 90.00, 90.00, 90.00 degrees
Element x y z (fractional)
Be: 0.000 0.500 0.000
Zr: 0.500 0.000 0.000
Zn: 0.500 0.500 0.500
Be: 0.000 0.000 0.500

Results
**Magnetization**: 0.00 μB/f.u.
**Crystal system**: tetragonal
**Space-group type**: P4/mmm
**Calculated formation energy**: -0.048 eV/atom

=====

ZrBe2Zn | SCAN | single point on PBEsol structure

Cell lengths 3.980, 3.980, 7.953 Å; angles 104.49, 104.49, 90.00 degrees
Element x y z (fractional)
Be: 0.125 0.375 0.750
Zr: 0.000 0.000 0.000
Be: 0.625 0.375 0.250
Zn: 0.750 0.250 0.500
Be: 0.625 0.375 0.750
Zr: 0.250 0.750 0.500
Be: 0.625 0.875 0.250
Zn: 0.500 0.500 0.000

Results
**Magnetization**: 0.00 μB/f.u.
**Crystal system**: tetragonal
**Space-group type**: I4_1/amd
**Calculated formation energy**: 0.154 eV/atom

=====

ZrBe2 | SCAN | single point on PBEsol structure

Cell lengths 3.545, 3.545, 6.864 Å; angles 104.98, 104.98, 89.98 degrees
Element x y z (fractional)
Zr: 0.000 0.000 0.000
Be: 0.417 0.417 0.834
Be: 0.833 0.333 0.666
Be: 0.583 0.583 0.166
Be: 0.667 0.167 0.334
Zr: 0.250 0.750 0.500

Results
**Magnetization**: 0.01 μB/f.u.
**Crystal system**: tetragonal
**Space-group type**: I4_1/amd
**Calculated formation energy**: -0.148 eV/atom